No. 1
OsPt: optimized geometry, GGA-PBE.

Results
As for the total energy: -14.27 eV per formula unit. Its energy of formation from the pure elements is 1.499 eV per atom.

Cell: 6.913 6.913 6.913 Å, 90.00 90.00 90.00°
Fractional positions:
Os1 0.250 0.000 0.500
Os2 0.750 0.000 0.500
Os3 0.000 0.500 0.250
Os4 0.000 0.500 0.750
Os5 0.500 0.250 0.000
Os6 0.500 0.750 0.000
Pt1 0.250 0.500 0.000
Pt2 0.750 0.500 0.000
Pt3 0.500 0.000 0.250
Pt4 0.500 0.000 0.750
Pt5 0.000 0.250 0.500
Pt6 0.000 0.750 0.500

***

No. 2
Os2Pt: optimized geometry, GGA-PBE.

Results
As for the total energy: -27.68 eV per formula unit. Its energy of formation from the pure elements is 0.273 eV per atom.

Cell: 7.515 7.515 2.719 Å, 90.00 90.00 120.00°
Fractional positions:
Os1 0.693 0.693 0.000
Os2 0.355 0.355 0.500
Os3 0.000 0.307 0.000
Os4 0.000 0.645 0.500
Os5 0.307 0.000 0.000
Os6 0.645 0.000 0.500
Pt1 0.000 0.000 0.500
Pt2 0.333 0.667 0.000
Pt3 0.667 0.333 0.000

***

No. 3
OsPt: optimized geometry, GGA-PBE.

Results
As for the total energy: -16.34 eV per formula unit. Its energy of formation from the pure elements is 0.464 eV per atom.

Cell: 7.845 7.845 4.383 Å, 90.00 90.00 90.00°
Fractional positions:
Os1 0.762 0.932 0.500
Os2 0.238 0.068 0.500
Os3 0.068 0.762 0.500
Os4 0.932 0.238 0.500
Os5 0.863 0.435 0.000
Os6 0.137 0.565 0.000
Os7 0.565 0.863 0.000
Os8 0.435 0.137 0.000
Pt1 0.740 0.585 0.500
Pt2 0.260 0.415 0.500
Pt3 0.415 0.740 0.500
Pt4 0.585 0.260 0.500
Pt5 0.880 0.773 0.000
Pt6 0.120 0.227 0.000
Pt7 0.227 0.880 0.000
Pt8 0.773 0.120 0.000

***

No. 4
OsPt2: optimized geometry, GGA-PBE.

Results
As for the total energy: -22.62 eV per formula unit. Its energy of formation from the pure elements is 0.230 eV per atom.

Cell: 7.302 7.302 4.536 Å, 90.00 90.00 157.84°
Fractional positions:
Os1 0.889 0.111 0.750
Os2 0.111 0.889 0.250
Pt1 0.553 0.447 0.750
Pt2 0.777 0.223 0.250
Pt3 0.223 0.777 0.750
Pt4 0.447 0.553 0.250

***

No. 5
Os5Pt: optimized geometry, GGA-PBE.

Results
As for the total energy: -61.35 eV per formula unit. Its energy of formation from the pure elements is 0.140 eV per atom.

Cell: 3.882 3.872 6.105 Å, 108.49 90.00 90.00°
Fractional positions:
Os1 0.000 0.671 0.343
Os2 0.000 0.329 0.657
Os3 0.500 0.500 0.000
Os4 0.500 0.169 0.338
Os5 0.500 0.831 0.662
Pt1 0.000 0.000 0.000

***

No. 6
OsPt: optimized geometry, GGA-PBE.

Results
As for the total energy: -16.07 eV per formula unit. Its energy of formation from the pure elements is 0.598 eV per atom.

Cell: 4.439 4.439 4.439 Å, 60.00 60.00 60.00°
Fractional positions:
Os1 0.000 0.000 0.000
Os2 0.750 0.750 0.750
Pt1 0.250 0.250 0.250
Pt2 0.500 0.500 0.500

***

No. 7
Os5Pt: optimized geometry, GGA-PBE.

Results
As for the total energy: -56.30 eV per formula unit. Its energy of formation from the pure elements is 0.982 eV per atom.

Cell: 5.015 5.015 4.551 Å, 90.00 90.00 120.00°
Fractional positions:
Os1 0.000 0.500 0.500
Os2 0.333 0.667 0.000
Os3 0.500 0.000 0.500
Os4 0.500 0.500 0.500
Os5 0.667 0.333 0.000
Pt1 0.000 0.000 0.000

***

No. 8
OsPt: optimized geometry, GGA-PBE.

Results
As for the total energy: -16.02 eV per formula unit. Its energy of formation from the pure elements is 0.624 eV per atom.

Cell: 3.127 3.127 3.127 Å, 90.00 90.00 90.00°
Fractional positions:
Os1 0.000 0.000 0.000
Pt1 0.500 0.500 0.500

***

No. 9
OsPt: optimized geometry, GGA-PBE.

Results
As for the total energy: -17.20 eV per formula unit. Its energy of formation from the pure elements is 0.033 eV per atom.

Cell: 2.787 2.787 8.937 Å, 90.00 90.00 120.00°
Fractional positions:
Os1 0.000 0.000 0.010
Os2 0.333 0.667 0.240
Pt1 0.000 0.000 0.491
Pt2 0.333 0.667 0.759

***

No. 10
OsPt2: optimized geometry, GGA-PBE.

Results
As for the total energy: -21.54 eV per formula unit. Its energy of formation from the pure elements is 0.592 eV per atom.

Cell: 4.546 4.546 2.695 Å, 90.00 90.00 90.00°
Fractional positions:
Os1 0.000 0.000 0.000
Pt1 0.000 0.500 0.500
Pt2 0.500 0.000 0.500

***

No. 11
OsPt2: optimized geometry, GGA-PBE.

Results
As for the total energy: -20.86 eV per formula unit. Its energy of formation from the pure elements is 0.818 eV per atom.

Cell: 3.683 3.683 4.606 Å, 90.00 90.00 120.00°
Fractional positions:
Os1 0.000 0.000 0.000
Pt1 0.333 0.667 0.298
Pt2 0.667 0.333 0.702

***

No. 12
OsPt5: optimized geometry, GGA-PBE.

Results
As for the total energy: -40.93 eV per formula unit. Its energy of formation from the pure elements is 0.083 eV per atom.

Cell: 2.788 2.788 13.838 Å, 90.00 90.00 120.00°
Fractional positions:
Os1 0.000 0.000 0.000
Pt1 0.667 0.333 0.842
Pt2 0.000 0.000 0.671
Pt3 0.667 0.333 0.500
Pt4 0.000 0.000 0.329
Pt5 0.667 0.333 0.158

***

No. 13
OsPt: optimized geometry, GGA-PBE.

Results
As for the total energy: -16.90 eV per formula unit. Its energy of formation from the pure elements is 0.184 eV per atom.

Cell: 4.465 4.837 5.531 Å, 90.00 90.00 90.00°
Fractional positions:
Os1 0.250 0.080 0.128
Os2 0.750 0.420 0.628
Os3 0.250 0.580 0.372
Os4 0.750 0.920 0.872
Pt1 0.250 0.095 0.622
Pt2 0.750 0.405 0.122
Pt3 0.250 0.595 0.878
Pt4 0.750 0.905 0.378

***

No. 14
OsPt: optimized geometry, GGA-PBE.

Results
As for the total energy: -16.98 eV per formula unit. Its energy of formation from the pure elements is 0.145 eV per atom.

Cell: 5.277 5.277 6.583 Å, 75.53 75.53 30.52°
Fractional positions:
Os1 0.012 0.012 0.997
Os2 0.605 0.605 0.275
Os3 0.659 0.659 0.676
Pt1 0.327 0.327 0.333
Pt2 0.950 0.950 0.606
Pt3 0.279 0.279 0.946

***

No. 15
OsPt: optimized geometry, GGA-PBE.

Results
As for the total energy: -14.75 eV per formula unit. Its energy of formation from the pure elements is 1.261 eV per atom.

Cell: 3.665 3.665 3.665 Å, 60.00 60.00 60.00°
Fractional positions:
Os1 0.000 0.000 0.000
Pt1 0.500 0.500 0.500

***

No. 16
Os5Pt: optimized geometry, GGA-PBE.

Results
As for the total energy: -61.77 eV per formula unit. Its energy of formation from the pure elements is 0.070 eV per atom.

Cell: 2.765 7.312 4.378 Å, 90.00 90.00 79.10°
Fractional positions:
Os1 0.001 0.998 0.000
Os2 0.667 0.666 0.000
Os3 0.332 0.337 0.000
Os4 0.559 0.881 0.500
Os5 0.219 0.563 0.500
Pt1 0.889 0.222 0.500

***

No. 17
OsPt: optimized geometry, GGA-PBE.

Results
As for the total energy: -14.20 eV per formula unit. Its energy of formation from the pure elements is 1.536 eV per atom.

Cell: 7.703 7.703 7.703 Å, 90.00 90.00 90.00°
Fractional positions:
Os1 0.155 0.155 0.155
Os2 0.155 0.845 0.845
Os3 0.845 0.155 0.845
Os4 0.845 0.845 0.155
Os5 0.655 0.655 0.655
Os6 0.655 0.345 0.345
Os7 0.345 0.655 0.345
Os8 0.345 0.345 0.655
Pt1 0.338 0.338 0.338
Pt2 0.338 0.662 0.662
Pt3 0.662 0.338 0.662
Pt4 0.662 0.662 0.338
Pt5 0.838 0.838 0.838
Pt6 0.838 0.162 0.162
Pt7 0.162 0.838 0.162
Pt8 0.162 0.162 0.838

***

No. 18
OsPt5: optimized geometry, GGA-PBE.

Results
As for the total energy: -38.06 eV per formula unit. Its energy of formation from the pure elements is 0.562 eV per atom.

Cell: 5.204 5.204 5.204 Å, 60.00 60.00 60.00°
Fractional positions:
Os1 0.000 0.000 0.000
Pt1 0.875 0.375 0.375
Pt2 0.750 0.750 0.750
Pt3 0.375 0.875 0.375
Pt4 0.375 0.375 0.375
Pt5 0.375 0.375 0.875

***

No. 19
OsPt2: optimized geometry, GGA-PBE.

Results
As for the total energy: -22.14 eV per formula unit. Its energy of formation from the pure elements is 0.391 eV per atom.

Cell: 2.699 3.759 19.713 Å, 90.00 90.00 90.00°
Fractional positions:
Os1 0.000 0.250 0.619
Os2 0.000 0.750 0.381
Os3 0.500 0.250 0.881
Os4 0.500 0.750 0.119
Pt1 0.000 0.250 0.049
Pt2 0.000 0.250 0.190
Pt3 0.000 0.750 0.810
Pt4 0.000 0.750 0.951
Pt5 0.500 0.250 0.310
Pt6 0.500 0.250 0.451
Pt7 0.500 0.750 0.549
Pt8 0.500 0.750 0.690

***

No. 20
OsPt: optimized geometry, GGA-PBE.

Results
As for the total energy: -17.21 eV per formula unit. Its energy of formation from the pure elements is 0.030 eV per atom.

Cell: 2.750 2.750 7.937 Å, 90.00 90.00 90.00°
Fractional positions:
Os1 0.000 0.000 0.013
Os2 0.500 0.500 0.237
Pt1 0.000 0.000 0.491
Pt2 0.500 0.500 0.759